No. 1
A geometry-optimized ZrMoAs structure. Source: Alexandria, functional PBEsol.

Calculated values
The value obtained for the density of states at the Fermi level is 2.3 states/eV per cell. Its space group is I4mm (107). Its crystal system is tetragonal. Its magnetic moment is 0.00 μB per cell. The calculation puts the formation energy at -1.04 eV per formula unit.

a b c (Å): 3.2983 3.2983 5.2725
angles (deg): 108.23 108.23 90.00
Closest atoms and distances in Å follow each position.
Sites, in units of the cell vectors:
Zr (0.3357, 0.3357, 0.6713)  5 Mo 2.90-2.97, 5 As 2.93-2.96
Mo (0.6419, 0.6419, 0.2839)  4 As 2.59, 1 Zr 2.90
As (0.0224, 0.0224, 0.0448)  4 Mo 2.59

=====

No. 2
A geometry-optimized ZrSb5 structure. Source: Alexandria, functional PBEsol.

Calculated values
The value obtained for the density of states at the Fermi level is 3.8 states/eV per cell. Its space group is Amm2 (38). Its crystal system is orthorhombic. Its uncorrected formation energy is -0.08 eV/atom. Its magnetic moment is 0.00 μB per cell. As for the energy above the most stable polymorph in this dataset: 0 kJ/mol of formula units.

a b c (Å): 3.7963 5.1643 8.0798
angles (deg): 90.00 103.59 90.00
Closest atoms and distances in Å follow each position.
Sites, in units of the cell vectors:
Sb (0.6589, 0.0000, 0.3177)  4 Sb 3.01-3.10, 4 Zr 3.32
Sb (0.7576, 0.5000, 0.5152)  2 Sb 3.01, 2 Zr 3.07
Sb (0.4585, 0.5000, 0.9170)  2 Zr 2.97, 6 Sb 3.08-3.28
Sb (0.3511, 0.0000, 0.7022)  4 Sb 3.05-3.08
Sb (0.0032, 0.0000, 0.0064)  2 Zr 3.03, 8 Sb 3.05-3.28
Zr (0.1041, 0.5000, 0.2081)  10 Sb 2.97-3.32

=====

No. 3
A geometry-optimized LiBe2FeAu structure. Source: Alexandria, functional PBEsol.

Calculated values
The value obtained for the density of states at the Fermi level is 4.7 states/eV per cell. Its space group is P4/mmm (123). Its crystal system is tetragonal. Its magnetic moment is 3.09 μB per cell. The calculation puts the formation energy at 3.57 eV per formula unit.

a b c (Å): 4.3174 4.3174 4.8348
angles (deg): 90.00 90.00 90.00
Closest atoms and distances in Å follow each position.
Sites, in units of the cell vectors:
Be (0.5000, 0.0000, 0.0000)  2 Au 2.16
Be (0.0000, 0.5000, 0.0000)  2 Au 2.16
Au (0.0000, 0.0000, 0.0000)  4 Be 2.16, 2 Fe 2.42
Li (0.5000, 0.5000, 0.5000)  4 Fe 3.05, 8 Be 3.24
Fe (0.0000, 0.0000, 0.5000)  2 Au 2.42

=====

No. 4
A geometry-optimized Li2TaAs structure. Source: Alexandria, functional PBEsol.

Calculated values
The value obtained for the density of states at the Fermi level is 1.6 states/eV per cell. Its space group is Cmmm (65). Its crystal system is orthorhombic. Its magnetic moment is 0.00 μB per cell. The calculation puts the formation energy at 0.10 eV per formula unit.

a b c (Å): 2.7006 2.7006 9.1513
angles (deg): 90.00 90.00 105.56
Closest atoms and distances in Å follow each position.
Sites, in units of the cell vectors:
Li (0.0000, 0.0000, 0.7768)  2 As 2.62, 4 Li 2.70
Li (0.0000, 0.0000, 0.2232)  2 As 2.62, 4 Li 2.70
Ta (0.5000, 0.5000, 0.5000)  4 Ta 2.70, 4 Li 3.01
As (0.5000, 0.5000, 0.0000)  4 Li 2.62, 4 As 2.70

=====

No. 5
A geometry-optimized AsIr3 structure. Source: Alexandria, functional PBEsol.

Calculated values
The value obtained for the density of states at the Fermi level is 3.0 states/eV per cell. Its space group is I4/mmm (139). Its crystal system is tetragonal. Its magnetic moment is 0.00 μB per cell. As for the energy above the most stable polymorph in this dataset: 59 kJ/mol of formula units. The calculation puts the formation energy at 1.24 eV per formula unit.

a b c (Å): 3.9483 3.9483 4.6552
angles (deg): 115.09 115.09 90.00
Closest atoms and distances in Å follow each position.
Sites, in units of the cell vectors:
Ir (0.5000, 0.5000, 0.0000)  8 Ir 2.71, 4 As 2.79
Ir (0.7500, 0.2500, 0.5000)  8 Ir 2.71-2.79, 4 As 2.71
Ir (0.2500, 0.7500, 0.5000)  8 Ir 2.71-2.79, 4 As 2.71
As (0.0000, 0.0000, 0.0000)  12 Ir 2.71-2.79

=====

No. 6
A geometry-optimized Ta2TeRh structure. Source: Alexandria, functional PBEsol.

Calculated values
The value obtained for the density of states at the Fermi level is 3.5 states/eV per cell. Its space group is Cm (8). Its crystal system is monoclinic. Its uncorrected formation energy is -0.05 eV/atom. Its magnetic moment is 0.00 μB per cell.

a b c (Å): 3.2250 4.8359 5.0309
angles (deg): 108.57 108.69 90.00
Closest atoms and distances in Å follow each position.
Sites, in units of the cell vectors:
Ta (0.9804, 0.9481, 0.9608)  3 Rh 2.62-2.89, 4 Te 2.91-2.93
Ta (0.7574, 0.2800, 0.5148)  3 Te 2.79-2.80, 4 Rh 2.80-3.01, 3 Ta 3.05-3.06
Te (0.5115, 0.4704, 0.0230)  7 Ta 2.79-2.93, 2 Rh 2.81
Rh (0.2507, 0.8016, 0.5015)  5 Ta 2.62-2.89, 2 Te 2.81

=====

No. 7
A geometry-optimized MnFe3As structure. Source: Alexandria, functional PBEsol.

Calculated values
The value obtained for the density of states at the Fermi level is 7.8 states/eV per cell. Its space group is Pm-3m (221). Its crystal system is cubic. Its magnetic moment is 4.84 μB per cell. The calculation puts the formation energy at 5.86 eV per formula unit.

a b c (Å): 4.1542 4.1542 4.1542
angles (deg): 90.00 90.00 90.00
Closest atoms and distances in Å follow each position.
Sites, in units of the cell vectors:
Fe (0.5000, 0.0000, 0.0000)  2 Mn 2.08
Fe (0.0000, 0.0000, 0.5000)  2 Mn 2.08
Fe (0.0000, 0.5000, 0.0000)  2 Mn 2.08
As (0.5000, 0.5000, 0.5000)  12 Fe 2.94
Mn (0.0000, 0.0000, 0.0000)  6 Fe 2.08

=====

No. 8
A geometry-optimized CrGeCl2 structure. Source: Alexandria, functional PBEsol.

Calculated values
The value obtained for the density of states at the Fermi level is 1.9 states/eV per cell. Its space group is Fm-3m (225). Its crystal system is cubic. Its uncorrected formation energy is 0.17 eV/atom. Its magnetic moment is 4.52 μB per cell.

a b c (Å): 4.6913 4.6913 4.6913
angles (deg): 60.00 60.00 60.00
Closest atoms and distances in Å follow each position.
Sites, in units of the cell vectors:
Cr (0.0000, 0.0000, 0.0000)  8 Cl 2.87
Cl (0.2500, 0.2500, 0.2500)  4 Ge 2.87, 4 Cr 2.87
Cl (0.7500, 0.7500, 0.7500)  4 Cr 2.87, 4 Ge 2.87
Ge (0.5000, 0.5000, 0.5000)  8 Cl 2.87

=====

No. 9
A geometry-optimized KBe2P structure. Source: Alexandria, functional PBEsol.

Calculated values
The value obtained for the density of states at the Fermi level is 1.7 states/eV per cell. Its space group is C2/m (12). Its crystal system is monoclinic. Its magnetic moment is 0.00 μB per cell. The calculation puts the formation energy at 1.03 eV per formula unit.

a b c (Å): 3.5414 4.0138 6.1605
angles (deg): 106.37 90.00 116.18
Closest atoms and distances in Å follow each position.
Sites, in units of the cell vectors:
Be (0.8225, 0.6450, 0.9511)  2 P 2.15, 2 Be 2.23
Be (0.1775, 0.3550, 0.0489)  2 P 2.15, 2 Be 2.23
P (0.5000, 0.0000, 0.0000)  4 Be 2.15
K (0.0000, 0.0000, 0.5000)  8 Be 3.22-3.49, 2 K 3.54, 4 P 3.55

=====

No. 10
A geometry-optimized LiYTe2 structure. Source: Alexandria, functional PBEsol.

Calculated values
The value obtained for the density of states at the Fermi level is 1.5 states/eV per cell. Its space group is P4/mmm (123). Its crystal system is tetragonal. Its uncorrected formation energy is -1.03 eV/atom. Its magnetic moment is 0.00 μB per cell.

a b c (Å): 3.7354 3.7354 7.5428
angles (deg): 90.00 90.00 90.00
Closest atoms and distances in Å follow each position.
Sites, in units of the cell vectors:
Te (0.0000, 0.0000, 0.7600)  4 Y 3.20, 4 Li 3.29
Te (0.0000, 0.0000, 0.2400)  4 Y 3.20, 4 Li 3.29
Y (0.5000, 0.5000, 0.0000)  8 Te 3.20
Li (0.5000, 0.5000, 0.5000)  8 Te 3.29

=====

No. 11
A geometry-optimized Fe2HgSbO structure. Source: Alexandria, functional PBEsol.

Calculated values
The value obtained for the density of states at the Fermi level is 8.7 states/eV per cell. Its space group is P4/mmm (123). Its crystal system is tetragonal. Its uncorrected formation energy is 1.81 eV/atom. Its magnetic moment is 7.78 μB per cell.

a b c (Å): 4.8540 4.8540 5.3012
angles (deg): 90.00 90.00 90.00
Closest atoms and distances in Å follow each position.
Sites, in units of the cell vectors:
Fe (0.0000, 0.5000, 0.0000)  2 Hg 2.43
Fe (0.5000, 0.0000, 0.0000)  2 Hg 2.43
O (0.5000, 0.5000, 0.5000)  4 Sb 3.43, 8 Fe 3.59
Hg (0.0000, 0.0000, 0.0000)  4 Fe 2.43, 2 Sb 2.65
Sb (0.0000, 0.0000, 0.5000)  2 Hg 2.65

=====

No. 12
A geometry-optimized ZnCuSi2O6 structure. Source: Alexandria, functional PBEsol.

Calculated values
Its space group is Pbca (61). Its crystal system is orthorhombic. Its uncorrected formation energy is -2.02 eV/atom. Its magnetic moment is 8.30 μB per cell. As for the energy above the most stable polymorph in this dataset: 0 kJ/mol of formula units.

a b c (Å): 5.2887 8.9261 18.2915
angles (deg): 90.00 90.00 90.00
Closest atoms and distances in Å follow each position.
Sites, in units of the cell vectors:
O (0.9440, 0.7117, 0.5495)  2 Si 1.65
O (0.4140, 0.3331, 0.6867)  1 Si 1.62
O (0.1336, 0.2679, 0.8076)  2 Si 1.65-1.66
O (0.6950, 0.9911, 0.0679)  1 Si 1.62
O (0.6047, 0.4977, 0.1878)  1 Si 1.62
O (0.3050, 0.0089, 0.9321)  1 Si 1.62
O (0.3953, 0.5023, 0.8122)  1 Si 1.62
O (0.3050, 0.5089, 0.5679)  1 Si 1.62
O (0.0860, 0.8331, 0.3133)  1 Si 1.62
O (0.1950, 0.5089, 0.0679)  1 Si 1.62
O (0.2709, 0.1557, 0.5649)  1 Si 1.65
O (0.6336, 0.2321, 0.8076)  2 Si 1.65-1.66
O (0.8664, 0.2321, 0.3076)  2 Si 1.65-1.66
O (0.3664, 0.7679, 0.1924)  2 Si 1.65-1.66
O (0.5560, 0.7117, 0.0495)  2 Si 1.65
O (0.8664, 0.7321, 0.1924)  2 Si 1.65-1.66
O (0.8953, 0.9977, 0.8122)  1 Si 1.62
O (0.0560, 0.2883, 0.4505)  2 Si 1.65
O (0.2291, 0.6557, 0.4351)  1 Si 1.65
O (0.7291, 0.3443, 0.0649)  1 Si 1.65
O (0.7709, 0.8443, 0.9351)  1 Si 1.65
O (0.9140, 0.6669, 0.8133)  1 Si 1.62
O (0.3664, 0.2679, 0.3076)  2 Si 1.65-1.66
O (0.4440, 0.7883, 0.5495)  2 Si 1.65
O (0.5860, 0.6669, 0.3133)  1 Si 1.62
O (0.8050, 0.4911, 0.9321)  1 Si 1.62
O (0.2291, 0.1557, 0.0649)  1 Si 1.65
O (0.1950, 0.0089, 0.4321)  1 Si 1.62
O (0.4440, 0.2883, 0.9505)  2 Si 1.65
O (0.7291, 0.8443, 0.4351)  1 Si 1.65
O (0.5560, 0.2117, 0.4505)  2 Si 1.65
O (0.1047, 0.0023, 0.1878)  1 Si 1.62
O (0.8050, 0.9911, 0.5679)  1 Si 1.62
O (0.0860, 0.3331, 0.1867)  1 Si 1.62
O (0.6950, 0.4911, 0.4321)  1 Si 1.62
O (0.6336, 0.7321, 0.6924)  2 Si 1.65-1.66
O (0.1047, 0.5023, 0.3122)  1 Si 1.62
O (0.6047, 0.9977, 0.3122)  1 Si 1.62
O (0.0560, 0.7883, 0.0495)  2 Si 1.65
O (0.8953, 0.4977, 0.6878)  1 Si 1.62
O (0.2709, 0.6557, 0.9351)  1 Si 1.65
O (0.4140, 0.8331, 0.8133)  1 Si 1.62
O (0.9140, 0.1669, 0.6867)  1 Si 1.62
O (0.1336, 0.7679, 0.6924)  2 Si 1.65-1.66
O (0.3953, 0.0023, 0.6878)  1 Si 1.62
O (0.9440, 0.2117, 0.9505)  2 Si 1.65
O (0.7709, 0.3443, 0.5649)  1 Si 1.65
O (0.5860, 0.1669, 0.1867)  1 Si 1.62
Si (0.2321, 0.6623, 0.5250)  4 O 1.62-1.65
Si (0.2321, 0.1623, 0.9750)  4 O 1.62-1.65
Si (0.0975, 0.3370, 0.2753)  4 O 1.62-1.66
Si (0.7321, 0.3377, 0.9750)  4 O 1.62-1.65
Si (0.4025, 0.3370, 0.7753)  4 O 1.62-1.66
Si (0.9025, 0.6630, 0.7247)  4 O 1.62-1.66
Si (0.5975, 0.6630, 0.2247)  4 O 1.62-1.66
Si (0.7679, 0.3377, 0.4750)  4 O 1.62-1.65
Si (0.2679, 0.6623, 0.0250)  4 O 1.62-1.65
Si (0.7321, 0.8377, 0.5250)  4 O 1.62-1.65
Si (0.0975, 0.8370, 0.2247)  4 O 1.62-1.66
Si (0.7679, 0.8377, 0.0250)  4 O 1.62-1.65
Si (0.4025, 0.8370, 0.7247)  4 O 1.62-1.66
Si (0.2679, 0.1623, 0.4750)  4 O 1.62-1.65
Si (0.9025, 0.1630, 0.7753)  4 O 1.62-1.66
Si (0.5975, 0.1630, 0.2753)  4 O 1.62-1.66
Zn (0.0985, 0.8482, 0.8751)  6 O 2.02-2.23
Zn (0.0985, 0.3482, 0.6249)  6 O 2.02-2.23
Zn (0.9015, 0.6518, 0.3751)  6 O 2.02-2.23
Zn (0.5985, 0.1518, 0.6249)  6 O 2.02-2.23
Zn (0.9015, 0.1518, 0.1249)  6 O 2.02-2.23
Zn (0.4015, 0.3482, 0.1249)  6 O 2.02-2.23
Zn (0.4015, 0.8482, 0.3751)  6 O 2.02-2.23
Zn (0.5985, 0.6518, 0.8751)  6 O 2.02-2.23
Cu (0.1035, 0.4950, 0.8744)  3 O 1.90-2.02
Cu (0.8965, 0.0050, 0.3744)  3 O 1.90-2.02
Cu (0.3965, 0.4950, 0.3744)  3 O 1.90-2.02
Cu (0.1035, 0.9950, 0.6256)  3 O 1.90-2.02
Cu (0.6035, 0.5050, 0.6256)  3 O 1.90-2.02
Cu (0.8965, 0.5050, 0.1256)  3 O 1.90-2.02
Cu (0.3965, 0.9950, 0.1256)  3 O 1.90-2.02
Cu (0.6035, 0.0050, 0.8744)  3 O 1.90-2.02

=====

Question: Which formula does entry 6 have?
Answer: Ta2TeRh

=====

Question: Number 2 is which compound?
Answer: ZrSb5

=====

Question: What is the magnetic moment in the third record?
Answer: 3.09 μB per cell